[1]
{
  "formula": "FePPt3",
  "functional": "PBE-GGA",
  "state": "optimized geometry",
  "sg": "Pm-3m, No. 221",
  "e_form_ev_per_atom": 0.341,
  "relative_energy_ev_per_atom": 0.000,
  "lattice_angstrom": [[4.480, 0.000, 0.000], [0.000, 4.480, 0.000], [0.000, 0.000, 4.480]],
  "species": ["P", "Fe", "Pt", "Pt", "Pt"],
  "frac_coords": [[0.000, 0.000, 0.000], [0.500, 0.500, 0.500], [0.000, 0.500, 0.000], [0.000, 0.000, 0.500], [0.500, 0.000, 0.000]]
}

[2]
{
  "formula": "Fe4P2Pt",
  "functional": "PBE-GGA",
  "state": "optimized geometry",
  "sg": "I4/mmm, No. 139",
  "e_form_ev_per_atom": 0.787,
  "lattice_angstrom": [[-2.344, 1.492, 3.675], [1.452, -3.650, 2.407], [4.194, 1.917, 4.784]],
  "species": ["P", "P", "Fe", "Fe", "Fe", "Fe", "Pt"],
  "frac_coords": [[0.597, 0.597, 0.806], [0.403, 0.403, 0.194], [0.787, 0.787, 0.425], [0.213, 0.213, 0.575], [0.000, 0.500, 0.000], [0.500, 0.000, 0.000], [0.000, 0.000, 0.000]]
}

[3]
{
  "formula": "FePPt2",
  "functional": "PBE-GGA",
  "state": "optimized geometry",
  "sg": "Amm2, No. 38",
  "e_form_ev_per_atom": -0.243,
  "lattice_angstrom": [[3.439, 0.000, 0.000], [0.000, 2.804, 0.019], [0.000, 1.365, 5.785]],
  "species": ["Fe", "P", "Pt", "Pt"],
  "frac_coords": [[0.000, 0.531, 0.562], [0.500, 0.969, 0.688], [0.000, 0.826, 0.972], [0.500, 0.174, 0.278]]
}

[4]
{
  "formula": "FeP2Pt",
  "functional": "PBE-GGA",
  "state": "optimized geometry",
  "sg": "F-43m, No. 216",
  "e_form_ev_per_atom": 0.391,
  "relative_energy_ev_per_atom": 0.747,
  "lattice_angstrom": [[4.316, 0.000, 0.000], [2.158, 3.738, 0.000], [2.158, 1.246, 3.524]],
  "species": ["Fe", "P", "P", "Pt"],
  "frac_coords": [[0.500, 0.500, 0.500], [0.000, 0.000, 0.000], [0.250, 0.250, 0.250], [0.750, 0.750, 0.750]]
}

[5]
{
  "formula": "FePPt2",
  "functional": "PBE-GGA",
  "state": "optimized geometry",
  "sg": "Immm, No. 71",
  "e_form_ev_per_atom": -0.135,
  "lattice_angstrom": [[5.129, -0.036, 0.006], [2.528, 4.463, -0.006], [-3.556, -2.685, 2.541]],
  "species": ["Fe", "P", "Pt", "Pt"],
  "frac_coords": [[0.750, 0.250, 0.500], [0.250, 0.750, 0.500], [0.051, 0.051, 0.000], [0.449, 0.449, 0.000]]
}

[6]
{
  "formula": "FePPt3",
  "functional": "PBE-GGA",
  "state": "optimized geometry",
  "sg": "Pm-3m, No. 221",
  "e_form_ev_per_atom": 1.152,
  "relative_energy_ev_per_atom": 0.811,
  "lattice_angstrom": [[4.583, 0.000, 0.000], [0.000, 4.583, 0.000], [0.000, 0.000, 4.583]],
  "species": ["P", "Fe", "Pt", "Pt", "Pt"],
  "frac_coords": [[0.500, 0.500, 0.500], [0.000, 0.000, 0.000], [0.000, 0.500, 0.000], [0.000, 0.000, 0.500], [0.500, 0.000, 0.000]]
}

[7]
{
  "formula": "Fe4PPt",
  "functional": "PBE-GGA",
  "state": "optimized geometry",
  "sg": "F-43m, No. 216",
  "e_form_ev_per_atom": 0.225,
  "lattice_angstrom": [[0.000, 3.367, 3.367], [3.367, 0.000, 3.367], [3.367, 3.367, 0.000]],
  "species": ["Fe", "Fe", "Fe", "Fe", "P", "Pt"],
  "frac_coords": [[0.873, 0.376, 0.376], [0.376, 0.376, 0.873], [0.376, 0.873, 0.376], [0.376, 0.376, 0.376], [0.750, 0.750, 0.750], [0.000, 0.000, 0.000]]
}

[8]
{
  "formula": "FePPt2",
  "functional": "PBE-GGA",
  "state": "optimized geometry",
  "sg": "R3m, No. 160",
  "e_form_ev_per_atom": -0.137,
  "lattice_angstrom": [[-5.338, 6.011, -1.663], [-6.592, 3.866, -2.998], [-7.018, 4.251, -0.237]],
  "species": ["Fe", "P", "Pt", "Pt"],
  "frac_coords": [[0.489, 0.489, 0.489], [0.758, 0.758, 0.758], [0.010, 0.010, 0.010], [0.243, 0.243, 0.243]]
}

[9]
{
  "formula": "FeP2Pt",
  "functional": "PBE-GGA",
  "state": "optimized geometry",
  "sg": "I-4m2, No. 119",
  "e_form_ev_per_atom": 0.155,
  "relative_energy_ev_per_atom": 0.511,
  "lattice_angstrom": [[4.972, 0.032, 0.000], [2.350, 4.381, 0.000], [-3.661, -2.207, 2.539]],
  "species": ["Fe", "P", "P", "Pt"],
  "frac_coords": [[0.750, 0.250, 0.500], [0.000, 0.000, 0.000], [0.250, 0.750, 0.500], [0.500, 0.500, 0.000]]
}

[10]
{
  "formula": "RbFePPt2",
  "functional": "PBE-GGA",
  "state": "optimized geometry",
  "sg": "P4/mmm, No. 123",
  "e_form_ev_per_atom": 0.448,
  "lattice_angstrom": [[-3.868, 3.065, -0.293], [-2.679, -3.333, 0.498], [0.127, 0.630, 4.902]],
  "species": ["P", "Rb", "Pt", "Pt", "Fe"],
  "frac_coords": [[0.000, 0.500, 0.000], [0.500, 0.500, 0.500], [0.000, 0.000, 0.500], [0.500, 0.000, 0.000], [0.000, 0.000, 0.000]]
}

[11]
{
  "formula": "FePPt2S",
  "functional": "PBE-GGA",
  "state": "optimized geometry",
  "sg": "P4/mmm, No. 123",
  "e_form_raw_ev_per_fu": 2.97,
  "lattice_angstrom": [[4.555, 0.000, 0.000], [0.000, 4.160, 0.000], [0.000, 0.000, 4.555]],
  "species": ["P", "S", "Fe", "Pt", "Pt"],
  "frac_coords": [[0.500, 0.500, 0.500], [0.000, 0.000, 0.000], [0.000, 0.500, 0.000], [0.000, 0.000, 0.500], [0.500, 0.000, 0.000]]
}

[12]
{
  "formula": "Y2FePPt",
  "functional": "PBE-GGA",
  "state": "optimized geometry",
  "sg": "P4/mmm, No. 123",
  "e_form_ev_per_atom": -0.159,
  "lattice_angstrom": [[5.247, 0.000, 0.000], [0.000, 4.409, 0.000], [0.000, 0.000, 5.247]],
  "species": ["Y", "Y", "P", "Fe", "Pt"],
  "frac_coords": [[0.000, 0.000, 0.500], [0.500, 0.000, 0.000], [0.000, 0.000, 0.000], [0.500, 0.500, 0.500], [0.000, 0.500, 0.000]]
}

[13]
{
  "formula": "ZrFePPt2",
  "functional": "PBE-GGA",
  "state": "optimized geometry",
  "sg": "P4/mmm, No. 123",
  "e_form_ev_per_atom": -0.209,
  "lattice_angstrom": [[4.546, 0.000, 0.000], [0.000, 4.225, 0.000], [0.000, 0.000, 4.546]],
  "species": ["P", "Zr", "Pt", "Pt", "Fe"],
  "frac_coords": [[0.000, 0.000, 0.000], [0.500, 0.500, 0.500], [0.000, 0.000, 0.500], [0.500, 0.000, 0.000], [0.000, 0.500, 0.000]]
}

[14]
{
  "formula": "PuFe3P2",
  "functional": "PBE-GGA",
  "state": "optimized geometry",
  "sg": "C2/m, No. 12",
  "e_form_ev_per_atom": -0.542,
  "lattice_angstrom": [[3.655, 0.000, 1.006], [0.977, 6.894, 3.592], [0.130, 0.181, 6.668]],
  "species": ["Pu", "Pu", "Fe", "Fe", "Fe", "Fe", "Fe", "Fe", "P", "P", "P", "P"],
  "frac_coords": [[0.839, 0.100, 0.223], [0.161, 0.900, 0.777], [0.329, 0.436, 0.906], [0.997, 0.325, 0.680], [0.637, 0.251, 0.475], [0.363, 0.749, 0.525], [0.003, 0.675, 0.320], [0.671, 0.564, 0.094], [0.488, 0.174, 0.850], [0.512, 0.826, 0.150], [0.837, 0.599, 0.727], [0.163, 0.401, 0.273]]
}

[15]
{
  "formula": "PuFeP",
  "functional": "PBE-GGA",
  "state": "optimized geometry",
  "sg": "P4/nmm, No. 129",
  "e_form_ev_per_atom": -0.761,
  "lattice_angstrom": [[3.803, 0.000, 0.000], [0.000, 3.803, 0.000], [0.000, 0.000, 6.686]],
  "species": ["Fe", "Fe", "Pu", "Pu", "P", "P"],
  "frac_coords": [[0.000, 0.000, 0.000], [0.500, 0.500, 0.000], [0.000, 0.500, 0.345], [0.500, 0.000, 0.655], [0.000, 0.500, 0.819], [0.500, 0.000, 0.181]]
}

[16]
{
  "formula": "Pu3Fe2P4",
  "functional": "PBE-GGA",
  "state": "optimized geometry",
  "sg": "C2/m, No. 12",
  "e_form_ev_per_atom": -0.893,
  "lattice_angstrom": [[-2.741, 0.602, 2.700], [-1.916, -4.441, -3.762], [5.245, -1.928, 5.754]],
  "species": ["Pu", "Pu", "Pu", "Fe", "Fe", "P", "P", "P", "P"],
  "frac_coords": [[0.623, 0.246, 0.714], [0.000, 0.000, 0.000], [0.377, 0.754, 0.286], [0.686, 0.373, 0.374], [0.314, 0.627, 0.626], [0.686, 0.372, 0.101], [0.314, 0.628, 0.899], [0.899, 0.798, 0.602], [0.101, 0.202, 0.398]]
}

[17]
{
  "formula": "PuFe4P12",
  "functional": "PBE-GGA",
  "state": "optimized geometry",
  "sg": "Im-3, No. 204",
  "e_form_ev_per_atom": -0.588,
  "lattice_angstrom": [[6.344, 0.000, -2.243], [-3.172, 5.494, -2.243], [0.000, 0.000, 6.729]],
  "species": ["Pu", "Fe", "Fe", "Fe", "Fe", "P", "P", "P", "P", "P", "P", "P", "P", "P", "P", "P", "P"],
  "frac_coords": [[0.000, 0.000, 0.000], [0.000, 0.500, 0.000], [0.500, 0.000, 0.000], [0.500, 0.500, 0.500], [0.000, 0.000, 0.500], [0.849, 0.350, 0.199], [0.350, 0.501, 0.151], [0.801, 0.151, 0.650], [0.350, 0.199, 0.849], [0.199, 0.849, 0.350], [0.650, 0.499, 0.849], [0.501, 0.151, 0.350], [0.499, 0.849, 0.650], [0.650, 0.801, 0.151], [0.849, 0.650, 0.499], [0.151, 0.350, 0.501], [0.151, 0.650, 0.801]]
}

[18]
{
  "formula": "Pu2Fe12P7",
  "functional": "PBE-GGA",
  "state": "optimized geometry",
  "sg": "P-6, No. 174",
  "e_form_ev_per_atom": -0.647,
  "lattice_angstrom": [[-1.492, -0.881, 3.179], [-5.144, -6.133, -4.115], [8.103, -2.313, 3.162]],
  "species": ["Pu", "Pu", "Fe", "Fe", "Fe", "Fe", "Fe", "Fe", "Fe", "Fe", "Fe", "Fe", "Fe", "Fe", "P", "P", "P", "P", "P", "P", "P"],
  "frac_coords": [[0.500, 0.000, 0.000], [0.000, 0.667, 0.333], [0.500, 0.898, 0.615], [0.500, 0.717, 0.102], [0.500, 0.385, 0.283], [0.500, 0.234, 0.789], [0.500, 0.555, 0.766], [0.500, 0.211, 0.445], [0.000, 0.060, 0.547], [0.000, 0.487, 0.940], [0.000, 0.453, 0.513], [0.000, 0.766, 0.726], [0.000, 0.960, 0.234], [0.000, 0.274, 0.040], [0.000, 0.333, 0.667], [0.000, 0.039, 0.779], [0.000, 0.740, 0.961], [0.000, 0.221, 0.260], [0.500, 0.623, 0.556], [0.500, 0.934, 0.377], [0.500, 0.444, 0.066]]
}

[19]
{
  "formula": "PuFeP2",
  "functional": "PBE-GGA",
  "state": "optimized geometry",
  "sg": "I-4m2, No. 119",
  "e_form_ev_per_atom": -0.712,
  "lattice_angstrom": [[-0.281, -1.179, -3.667], [0.654, -3.637, 1.119], [-4.601, 1.782, 1.815]],
  "species": ["Pu", "Fe", "P", "P"],
  "frac_coords": [[0.221, 0.881, 0.228], [0.471, 0.631, 0.728], [0.850, 0.510, 0.487], [0.592, 0.252, 0.970]]
}

[20]
{
  "formula": "Rb2FeP2",
  "functional": "PBE-GGA",
  "state": "optimized geometry",
  "sg": "I4/mmm, No. 139",
  "e_form_ev_per_atom": 0.630,
  "lattice_angstrom": [[3.481, 0.000, 0.000], [0.000, 3.481, 0.000], [1.741, 1.741, 11.417]],
  "species": ["P", "P", "Fe", "Rb", "Rb"],
  "frac_coords": [[0.750, 0.250, 0.500], [0.250, 0.750, 0.500], [0.000, 0.000, 0.000], [0.379, 0.379, 0.242], [0.621, 0.621, 0.758]]
}

[21]
{
  "formula": "RbFe3P",
  "functional": "PBE-GGA",
  "state": "optimized geometry",
  "sg": "Pm-3m, No. 221",
  "e_form_ev_per_atom": 0.677,
  "relative_energy_ev_per_atom": 0.000,
  "lattice_angstrom": [[4.552, 0.000, 0.000], [0.000, 4.552, 0.000], [0.000, 0.000, 4.552]],
  "species": ["P", "Fe", "Fe", "Fe", "Rb"],
  "frac_coords": [[0.000, 0.000, 0.000], [0.000, 0.500, 0.000], [0.000, 0.000, 0.500], [0.500, 0.000, 0.000], [0.500, 0.500, 0.500]]
}

[22]
{
  "formula": "RbFe2P",
  "functional": "PBE-GGA",
  "state": "optimized geometry",
  "sg": "I4_1/amd, No. 141",
  "e_form_ev_per_atom": 0.694,
  "lattice_angstrom": [[-3.526, 1.533, -2.870], [-3.047, -0.069, 3.706], [-1.497, 7.850, 2.021]],
  "species": ["P", "P", "Fe", "Fe", "Fe", "Fe", "Rb", "Rb"],
  "frac_coords": [[0.500, 0.500, 0.000], [0.250, 0.750, 0.500], [0.375, 0.125, 0.250], [0.375, 0.625, 0.250], [0.375, 0.625, 0.750], [0.875, 0.625, 0.750], [0.000, 0.000, 0.000], [0.750, 0.250, 0.500]]
}

[23]
{
  "formula": "Rb2FeP2",
  "functional": "PBE-GGA",
  "state": "optimized geometry",
  "sg": "I4/mmm, No. 139",
  "e_form_ev_per_atom": 0.781,
  "lattice_angstrom": [[4.543, 0.000, 0.000], [0.000, 4.543, 0.000], [2.271, 2.271, 6.800]],
  "species": ["P", "P", "Fe", "Rb", "Rb"],
  "frac_coords": [[0.424, 0.424, 0.152], [0.576, 0.576, 0.848], [0.000, 0.000, 0.000], [0.750, 0.250, 0.500], [0.250, 0.750, 0.500]]
}

[24]
{
  "formula": "RbFe3P",
  "functional": "PBE-GGA",
  "state": "optimized geometry",
  "sg": "Pm-3m, No. 221",
  "e_form_ev_per_atom": 2.688,
  "relative_energy_ev_per_atom": 2.012,
  "lattice_angstrom": [[4.646, 0.000, 0.000], [0.000, 4.646, 0.000], [0.000, 0.000, 4.646]],
  "species": ["P", "Fe", "Fe", "Fe", "Rb"],
  "frac_coords": [[0.500, 0.500, 0.500], [0.000, 0.500, 0.000], [0.000, 0.000, 0.500], [0.500, 0.000, 0.000], [0.000, 0.000, 0.000]]
}

[25]
{
  "formula": "RbFeP3",
  "functional": "PBE-GGA",
  "state": "optimized geometry",
  "sg": "Pm-3m, No. 221",
  "e_form_ev_per_atom": 2.867,
  "relative_energy_ev_per_atom": 2.435,
  "lattice_angstrom": [[-2.850, 3.013, -3.192], [1.618, -2.817, -4.103], [-4.081, -3.222, 0.603]],
  "species": ["P", "P", "P", "Fe", "Rb"],
  "frac_coords": [[0.000, 0.500, 0.000], [0.000, 0.000, 0.500], [0.500, 0.000, 0.000], [0.500, 0.500, 0.500], [0.000, 0.000, 0.000]]
}

[26]
{
  "formula": "RbFeP3",
  "functional": "PBE-GGA",
  "state": "optimized geometry",
  "sg": "Pm-3m, No. 221",
  "e_form_ev_per_atom": 0.433,
  "relative_energy_ev_per_atom": 0.000,
  "lattice_angstrom": [[-0.303, -3.293, -3.195], [-1.251, -3.022, 3.233], [-4.415, 1.083, -0.696]],
  "species": ["P", "P", "P", "Fe", "Rb"],
  "frac_coords": [[0.000, 0.500, 0.000], [0.000, 0.000, 0.500], [0.500, 0.000, 0.000], [0.000, 0.000, 0.000], [0.500, 0.500, 0.500]]
}